This record from OQMD describes crystalline YCoNO at its relaxed geometry. The functional is PBE+U.

extended XYZ file:
```
16
Lattice="5.452 0.000 0.000 0.000 7.442 0.000 0.000 0.000 5.452" Properties=species:S:1:pos:R:3 pbc="T T T"
Y 0.197 1.084 0.000
Y 2.529 1.084 2.726
Y 2.923 6.358 0.000
Y 5.256 6.358 2.726
Co 0.435 3.491 3.387
Co 2.291 3.491 0.661
Co 3.161 3.951 3.387
Co 5.018 3.951 0.661
N 0.740 2.790 1.613
N 1.987 2.790 4.339
N 3.466 4.652 1.613
N 4.713 4.652 4.339
O 1.349 7.207 1.329
O 1.377 7.207 4.055
O 4.075 0.235 1.329
O 4.103 0.235 4.055
```

E_tot (Ha/atom): -0.2806
Magnetization (Bohr magnetons per cell): 10.819
Symmetry: Pca2_1 (29)
Relative energy among the computed polymorphs (meV per atom): 0.0